[1]
A plane-wave DFT calculation with PBE was carried out for ErTmZn2Sn2 after structural relaxation.

abc: 4.479 4.479 15.646
angles: 90.00 90.00 120.00
Positions (direct):
Er: 0.000 0.000 0.000
Er: 0.000 0.000 0.500
Tm: 0.000 0.000 0.250
Tm: 0.000 0.000 0.750
Zn: 0.333 0.667 0.161
Zn: 0.333 0.667 0.339
Zn: 0.667 0.333 0.661
Zn: 0.667 0.333 0.839
Sn: 0.333 0.667 0.613
Sn: 0.333 0.667 0.887
Sn: 0.667 0.333 0.113
Sn: 0.667 0.333 0.387

Computed properties:
Uncorrected energy   -3.8049 eV per atom
Energy above the lowest structure with this stoichiometry   0.000 eV/atom
Magnetization   0.0 μB per cell
Space group   P6_3/mmc (194)

[2]
A plane-wave DFT calculation with PBE was carried out for ErTmZn2Sn2 after structural relaxation.

abc: 4.480 4.480 15.645
angles: 90.00 90.00 120.00
Positions (direct):
Er: 0.000 0.000 0.250
Er: 0.000 0.000 0.750
Tm: 0.000 0.000 0.000
Tm: 0.000 0.000 0.500
Zn: 0.333 0.667 0.161
Zn: 0.333 0.667 0.339
Zn: 0.667 0.333 0.661
Zn: 0.667 0.333 0.839
Sn: 0.333 0.667 0.612
Sn: 0.333 0.667 0.888
Sn: 0.667 0.333 0.112
Sn: 0.667 0.333 0.388

Computed properties:
Uncorrected energy   -3.8026 eV per atom
Energy above the lowest structure with this stoichiometry   0.002 eV/atom
Magnetization   0.0 μB per cell
Space group   P6_3/mmc (194)

[3]
A plane-wave DFT calculation with PBE was carried out for ErUSn after structural relaxation.

abc: 7.192 7.192 7.192
angles: 90.00 90.00 90.00
Positions (direct):
Er: 0.000 0.000 0.000
Er: 0.000 0.500 0.500
Er: 0.500 0.000 0.500
Er: 0.500 0.500 0.000
U: 0.250 0.250 0.250
U: 0.250 0.750 0.750
U: 0.750 0.250 0.750
U: 0.750 0.750 0.250
Sn: 0.250 0.250 0.750
Sn: 0.250 0.750 0.250
Sn: 0.750 0.250 0.250
Sn: 0.750 0.750 0.750

Computed properties:
Uncorrected energy   -5.9355 eV per atom
Energy above the lowest structure with this stoichiometry   0.000 eV/atom
Magnetization   18.8 μB per cell
Space group   F-43m (216)

[4]
A plane-wave DFT calculation with PBE was carried out for YErSn2 after structural relaxation.

abc: 3.341 6.182 12.278
angles: 90.00 90.00 90.00
Positions (direct):
Y: 0.000 0.000 0.000
Y: 0.000 0.500 0.500
Er: 0.000 0.000 0.720
Er: 0.000 0.500 0.220
Sn: 0.000 0.000 0.246
Sn: 0.000 0.000 0.476
Sn: 0.000 0.500 0.746
Sn: 0.000 0.500 0.976

Computed properties:
Uncorrected energy   -4.6745 eV per atom
Magnetization   0.1 μB per cell
Space group   Amm2 (38)

[5]
A plane-wave DFT calculation with PBE was carried out for YErSn4 after structural relaxation.

abc: 4.342 4.422 16.322
angles: 90.00 90.00 90.00
Positions (direct):
Y: 0.000 0.000 0.000
Y: 0.000 0.500 0.500
Er: 0.500 0.000 0.803
Er: 0.500 0.500 0.303
Sn: 0.000 0.000 0.337
Sn: 0.000 0.000 0.650
Sn: 0.000 0.500 0.150
Sn: 0.000 0.500 0.837
Sn: 0.500 0.000 0.154
Sn: 0.500 0.000 0.465
Sn: 0.500 0.500 0.654
Sn: 0.500 0.500 0.965

Computed properties:
Uncorrected energy   -5.0923 eV per atom
Magnetization   0.0 μB per cell
Space group   Amm2 (38)

[6]
A plane-wave DFT calculation with PBE was carried out for ErZnSn after structural relaxation.

abc: 6.560 6.560 6.560
angles: 90.00 90.00 90.00
Positions (direct):
Er: 0.000 0.000 0.000
Er: 0.000 0.500 0.500
Er: 0.500 0.000 0.500
Er: 0.500 0.500 0.000
Zn: 0.250 0.250 0.250
Zn: 0.250 0.750 0.750
Zn: 0.750 0.250 0.750
Zn: 0.750 0.750 0.250
Sn: 0.000 0.000 0.500
Sn: 0.000 0.500 0.000
Sn: 0.500 0.000 0.000
Sn: 0.500 0.500 0.500

Computed properties:
Uncorrected energy   -3.6500 eV per atom
Magnetization   0.0 μB per cell
Space group   F-43m (216)

[7]
A plane-wave DFT calculation with PBE was carried out for ErZnSn after structural relaxation.

abc: 4.485 4.485 15.676
angles: 90.00 90.00 120.00
Positions (direct):
Er: 0.000 0.000 0.000
Er: 0.000 0.000 0.250
Er: 0.000 0.000 0.500
Er: 0.000 0.000 0.750
Zn: 0.333 0.667 0.161
Zn: 0.333 0.667 0.339
Zn: 0.667 0.333 0.661
Zn: 0.667 0.333 0.839
Sn: 0.333 0.667 0.613
Sn: 0.333 0.667 0.887
Sn: 0.667 0.333 0.113
Sn: 0.667 0.333 0.387

Computed properties:
Uncorrected energy   -3.8298 eV per atom
Magnetization   0.0 μB per cell
Space group   P6_3/mmc (194)

[8]
A plane-wave DFT calculation with PBE was carried out for ErZrSn after structural relaxation.

abc: 4.359 4.359 8.155
angles: 90.00 90.00 90.00
Positions (direct):
Er: 0.250 0.250 0.161
Er: 0.750 0.750 0.839
Zr: 0.250 0.750 0.500
Zr: 0.750 0.250 0.500
Sn: 0.250 0.250 0.770
Sn: 0.750 0.750 0.230

Computed properties:
Uncorrected energy   -6.2998 eV per atom
Energy above the lowest structure with this stoichiometry   0.000 eV/atom
Magnetization   0.0 μB per cell
Space group   P4/nmm (129)

[9]
A plane-wave DFT calculation with PBE was carried out for ErZrSn after structural relaxation.

abc: 8.045 8.045 8.045
angles: 35.87 35.87 35.87
Positions (direct):
Er: 0.134 0.134 0.134
Er: 0.866 0.866 0.866
Zr: 0.289 0.289 0.289
Zr: 0.711 0.711 0.711
Sn: 0.420 0.420 0.420
Sn: 0.580 0.580 0.580

Computed properties:
Uncorrected energy   -5.9469 eV per atom
Energy above the lowest structure with this stoichiometry   0.353 eV/atom
Magnetization   0.0 μB per cell
Space group   R-3m (166)

[10]
A plane-wave DFT calculation with PBE was carried out for ErZrSn after structural relaxation.

abc: 7.080 7.080 7.080
angles: 90.00 90.00 90.00
Positions (direct):
Er: 0.000 0.000 0.000
Er: 0.000 0.500 0.500
Er: 0.500 0.000 0.500
Er: 0.500 0.500 0.000
Zr: 0.250 0.250 0.250
Zr: 0.250 0.750 0.750
Zr: 0.750 0.250 0.750
Zr: 0.750 0.750 0.250
Sn: 0.000 0.000 0.500
Sn: 0.000 0.500 0.000
Sn: 0.500 0.000 0.000
Sn: 0.500 0.500 0.500

Computed properties:
Uncorrected energy   -5.3965 eV per atom
Energy above the lowest structure with this stoichiometry   0.903 eV/atom
Magnetization   8.5 μB per cell
Space group   F-43m (216)

[11]
A plane-wave DFT calculation with PBE was carried out for Sr2Er after structural relaxation.

abc: 8.692 8.692 8.692
angles: 90.00 90.00 90.00
Positions (direct):
Sr: 0.250 0.250 0.250
Sr: 0.250 0.250 0.750
Sr: 0.250 0.750 0.250
Sr: 0.250 0.750 0.750
Sr: 0.750 0.250 0.250
Sr: 0.750 0.250 0.750
Sr: 0.750 0.750 0.250
Sr: 0.750 0.750 0.750
Er: 0.000 0.000 0.000
Er: 0.000 0.500 0.500
Er: 0.500 0.000 0.500
Er: 0.500 0.500 0.000

Computed properties:
Uncorrected energy   -1.9431 eV per atom
Energy above the lowest structure with this stoichiometry   0.177 eV/atom
Magnetization   0.6 μB per cell
Space group   Fm-3m (225)

[12]
A plane-wave DFT calculation with PBE was carried out for Sr2Er after structural relaxation.

abc: 7.232 7.232 7.232
angles: 60.00 60.00 60.00
Positions (direct):
Sr: 0.000 0.000 0.000
Sr: 0.000 0.000 0.500
Sr: 0.000 0.500 0.000
Sr: 0.500 0.000 0.000
Er: 0.375 0.375 0.375
Er: 0.625 0.625 0.625

Computed properties:
Uncorrected energy   -2.1199 eV per atom
Energy above the lowest structure with this stoichiometry   0.000 eV/atom
Magnetization   2.4 μB per cell
Space group   Fd-3m (227)

[13]
A plane-wave DFT calculation with PBE was carried out for SrErTl after structural relaxation.

abc: 7.641 7.641 7.641
angles: 90.00 90.00 90.00
Positions (direct):
Sr: 0.000 0.000 0.000
Sr: 0.000 0.500 0.500
Sr: 0.500 0.000 0.500
Sr: 0.500 0.500 0.000
Er: 0.000 0.000 0.500
Er: 0.000 0.500 0.000
Er: 0.500 0.000 0.000
Er: 0.500 0.500 0.500
Tl: 0.250 0.250 0.750
Tl: 0.250 0.750 0.250
Tl: 0.750 0.250 0.250
Tl: 0.750 0.750 0.750

Computed properties:
Uncorrected energy   -2.9057 eV per atom
Energy above the lowest structure with this stoichiometry   0.000 eV/atom
Magnetization   0.0 μB per cell
Space group   F-43m (216)

[14]
A plane-wave DFT calculation with PBE was carried out for SrYEr after structural relaxation.

abc: 8.103 8.103 8.103
angles: 90.00 90.00 90.00
Positions (direct):
Sr: 0.000 0.000 0.000
Sr: 0.000 0.500 0.500
Sr: 0.500 0.000 0.500
Sr: 0.500 0.500 0.000
Y: 0.000 0.000 0.500
Y: 0.000 0.500 0.000
Y: 0.500 0.000 0.000
Y: 0.500 0.500 0.500
Er: 0.250 0.250 0.250
Er: 0.250 0.750 0.750
Er: 0.750 0.250 0.750
Er: 0.750 0.750 0.250

Computed properties:
Uncorrected energy   -3.4215 eV per atom
Energy above the lowest structure with this stoichiometry   0.000 eV/atom
Magnetization   0.0 μB per cell
Space group   F-43m (216)

[15]
A plane-wave DFT calculation with PBE was carried out for SrErZn after structural relaxation.

abc: 7.325 7.325 7.325
angles: 90.00 90.00 90.00
Positions (direct):
Sr: 0.000 0.000 0.000
Sr: 0.000 0.500 0.500
Sr: 0.500 0.000 0.500
Sr: 0.500 0.500 0.000
Er: 0.000 0.000 0.500
Er: 0.000 0.500 0.000
Er: 0.500 0.000 0.000
Er: 0.500 0.500 0.500
Zn: 0.250 0.250 0.750
Zn: 0.250 0.750 0.250
Zn: 0.750 0.250 0.250
Zn: 0.750 0.750 0.750

Computed properties:
Uncorrected energy   -2.3507 eV per atom
Energy above the lowest structure with this stoichiometry   0.000 eV/atom
Magnetization   0.2 μB per cell
Space group   F-43m (216)

[16]
A plane-wave DFT calculation with PBE was carried out for ErTa after structural relaxation.

abc: 6.499 6.499 6.499
angles: 90.00 90.00 90.00
Positions (direct):
Er: 0.000 0.000 0.000
Er: 0.000 0.500 0.500
Er: 0.500 0.000 0.500
Er: 0.500 0.500 0.000
Ta: 0.250 0.250 0.750
Ta: 0.250 0.750 0.250
Ta: 0.750 0.250 0.250
Ta: 0.750 0.750 0.750

Computed properties:
Uncorrected energy   -5.3041 eV per atom
Energy above the lowest structure with this stoichiometry   2.473 eV/atom
Magnetization   9.5 μB per cell
Space group   F-43m (216)
DFT formation energy   2.90 eV/atom

[17]
A plane-wave DFT calculation with PBE was carried out for ErTa after structural relaxation.

abc: 5.871 5.871 5.871
angles: 90.00 90.00 90.00
Positions (direct):
Er: 0.000 0.000 0.000
Er: 0.000 0.500 0.500
Er: 0.500 0.000 0.500
Er: 0.500 0.500 0.000
Ta: 0.000 0.000 0.500
Ta: 0.000 0.500 0.000
Ta: 0.500 0.000 0.000
Ta: 0.500 0.500 0.500

Computed properties:
Uncorrected energy   -6.6909 eV per atom
Energy above the lowest structure with this stoichiometry   1.086 eV/atom
Magnetization   0.2 μB per cell
Space group   Fm-3m (225)
DFT formation energy   1.52 eV/atom

[18]
A plane-wave DFT calculation with PBE was carried out for ErTa after structural relaxation.

abc: 3.163 3.163 5.233
angles: 90.00 90.00 120.00
Positions (direct):
Er: 0.000 0.000 0.000
Ta: 0.667 0.333 0.500

Computed properties:
Uncorrected energy   -7.7766 eV per atom
Energy above the lowest structure with this stoichiometry   0.000 eV/atom
Magnetization   0.0 μB per cell
Space group   P-6m2 (187)
DFT formation energy   0.43 eV/atom

[19]
A plane-wave DFT calculation with PBE was carried out for TbErTa after structural relaxation.

abc: 7.054 7.054 7.054
angles: 90.00 90.00 90.00
Positions (direct):
Tb: 0.000 0.000 0.000
Tb: 0.000 0.500 0.500
Tb: 0.500 0.000 0.500
Tb: 0.500 0.500 0.000
Er: 0.250 0.250 0.750
Er: 0.250 0.750 0.250
Er: 0.750 0.250 0.250
Er: 0.750 0.750 0.750
Ta: 0.000 0.000 0.500
Ta: 0.000 0.500 0.000
Ta: 0.500 0.000 0.000
Ta: 0.500 0.500 0.500

Computed properties:
Uncorrected energy   -5.7302 eV per atom
Magnetization   5.5 μB per cell
Space group   F-43m (216)
DFT formation energy   1.28 eV/atom

[20]
A plane-wave DFT calculation with PBE was carried out for ErTaTe after structural relaxation.

abc: 6.740 6.740 6.740
angles: 90.00 90.00 90.00
Positions (direct):
Er: 0.000 0.000 0.000
Er: 0.000 0.500 0.500
Er: 0.500 0.000 0.500
Er: 0.500 0.500 0.000
Ta: 0.000 0.000 0.500
Ta: 0.000 0.500 0.000
Ta: 0.500 0.000 0.000
Ta: 0.500 0.500 0.500
Te: 0.250 0.250 0.750
Te: 0.250 0.750 0.250
Te: 0.750 0.250 0.250
Te: 0.750 0.750 0.750

Computed properties:
Uncorrected energy   -6.2340 eV per atom
Magnetization   0.0 μB per cell
Space group   F-43m (216)